# PBE with a Hubbard U WOF, relaxed
# - DOS at the Fermi energy (states/eV/f.u.) = 0.3
# - total DFT energy (no corrections) (eV/cell) = -35.96
# - space group = C2/m
# - total magnetic moment (μB per atom) = 0.08
data_WOF
_symmetry_space_group_name_H-M 'P 1'
_symmetry_Int_Tables_number 1
_cell_length_a 6.3261
_cell_length_b 6.3261
_cell_length_c 5.0651
_cell_angle_alpha 111.09
_cell_angle_beta 111.09
_cell_angle_gamma 26.19
loop_
_symmetry_equiv_pos_as_xyz
'x,y,z'
loop_
_atom_site_label
_atom_site_type_symbol
_atom_site_fract_x
_atom_site_fract_y
_atom_site_fract_z
_atom_site_occupancy
W1 W 0.2437 0.2437 0.2671 1
W2 W 0.7563 0.7563 0.7329 1
O1 O 0.1515 0.1515 0.8320 1
O2 O 0.8485 0.8485 0.1680 1
F1 F 0.3899 0.3899 0.7047 1
F2 F 0.6101 0.6101 0.2953 1